Compound: Os2AuBr
Source: the Alexandria database
Functional: PBE-GGA
Structure: optimized geometry

The structure in POSCAR format:
```
Os2AuBr
1.0
-3.427 2.093 1.285
-1.497 -3.529 1.756
1.610 1.311 9.074
Os Br Au
4 2 2
Direct
0.875 0.779 0.750 Os
0.221 0.625 0.250 Os
0.375 0.471 0.750 Os
0.529 0.125 0.250 Os
0.250 0.750 0.500 Br
0.500 0.500 0.000 Br
0.750 0.250 0.500 Au
0.000 0.000 0.000 Au
```

ΔE to the lowest computed polymorph: 0.599 eV per atom
Total DFT energy (no corrections): -5.410 eV per atom
Symmetry: I-42d (122)
DOS(E_F): 4.734 states/eV/cell
Formation energy without anion corrections: 1443 meV per atom